DFT (GGA+U) results for MgPa2FeO8 after structural relaxation.

a b c (Å): 5.521 5.521 5.831
angles (deg): 90.00 90.00 120.00
Site moments in Bohr magnetons follow the coordinates.
Fractional positions:
Mg1 0.000 0.000 0.500  0.00
Pa1 0.667 0.333 0.145  0.00
Pa2 0.333 0.667 0.855  0.00
Fe1 0.000 0.000 0.000  2.10
O1 0.933 0.690 0.819  -0.01
O2 0.310 0.243 0.819  -0.01
O3 0.757 0.067 0.819  -0.01
O4 0.067 0.310 0.181  -0.01
O5 0.690 0.757 0.181  -0.01
O6 0.243 0.933 0.181  -0.01
O7 0.667 0.333 0.463  0.00
O8 0.333 0.667 0.537  0.00

Summary:
Theoretical density ... 7.23 g cm⁻³
Magnetic moment ... 2.000 μB per cell
Total energy ... -7.7522 eV per atom
Symmetry ... P-3 (147)